Record 1
A plane-wave DFT calculation with PBE was carried out for a relaxed ZnInIr2 crystal. Values from VASP.

Values from the calculation:
The space-group type is I-42d. The energy of formation comes out at 0.414 eV per atom. For the total energy, the calculation gives -5.019 eV/atom.

```
&SYSTEM
  ibrav = 0, nat = 8, ntyp = 3
/
ATOMIC_SPECIES
Ir 192.22 Ir.upf
In 114.82 In.upf
Zn 65.41 Zn.upf
CELL_PARAMETERS angstrom
7.1456 0.0000 0.0000
0.0000 7.1456 0.0000
3.5728 3.5728 2.7131
ATOMIC_POSITIONS crystal
Ir 0.3750 0.4041 0.7500
In 0.7500 0.2500 0.5000
Ir 0.8750 0.8459 0.7500
Ir 0.1541 0.6250 0.2500
Zn 0.2500 0.7500 0.5000
In 0.0000 0.0000 0.0000
Ir 0.5959 0.1250 0.2500
Zn 0.5000 0.5000 0.0000
```

Record 2
A plane-wave DFT calculation with PBE was carried out for a relaxed Ti2PtAu2 crystal. Values from VASP.

Values from the calculation:
The space-group type is P4/mbm. The energy of formation comes out at -0.340 eV per atom. For the total energy, the calculation gives -6.017 eV/atom.

```
&SYSTEM
  ibrav = 0, nat = 10, ntyp = 3
/
ATOMIC_SPECIES
Ti 47.87 Ti.upf
Au 196.97 Au.upf
Pt 195.08 Pt.upf
CELL_PARAMETERS angstrom
7.1989 0.0000 0.0000
0.0000 7.1989 0.0000
0.0000 0.0000 3.3508
ATOMIC_POSITIONS crystal
Ti 0.1707 0.6707 0.5000
Au 0.3665 0.8665 0.0000
Au 0.8665 0.6335 0.0000
Au 0.1335 0.3665 0.0000
Ti 0.6707 0.8293 0.5000
Pt 0.0000 0.0000 0.0000
Au 0.6335 0.1335 0.0000
Ti 0.3293 0.1707 0.5000
Ti 0.8293 0.3293 0.5000
Pt 0.5000 0.5000 0.0000
```

Record 3
A plane-wave DFT calculation with PBE was carried out for a relaxed VAsP crystal. Values from VASP.

Values from the calculation:
The space-group type is Cm. The energy of formation comes out at -0.153 eV per atom. For the total energy, the calculation gives -6.546 eV/atom.

```
&SYSTEM
  ibrav = 0, nat = 6, ntyp = 3
/
ATOMIC_SPECIES
V 50.94 V.upf
P 30.97 P.upf
As 74.92 As.upf
CELL_PARAMETERS angstrom
-1.1617 3.8291 -4.0269
-3.3336 -1.0378 -0.0251
-0.1898 0.4184 7.8960
ATOMIC_POSITIONS crystal
V 0.9729 0.5000 0.8446
P 0.9624 0.5000 0.5387
As 0.3893 0.0000 0.0409
As 0.3893 0.5000 0.5409
P 0.9624 0.0000 0.0388
V 0.9729 0.0000 0.3446
```

Record 4
A plane-wave DFT calculation with PBE was carried out for a relaxed RbTmAg2F6 crystal. Values from VASP.

Values from the calculation:
The space-group type is P1. The formation energy without anion corrections comes out at -2600 meV per atom. For the total energy, the calculation gives -4.837 eV/atom.

```
&SYSTEM
  ibrav = 0, nat = 10, ntyp = 4
/
ATOMIC_SPECIES
Tm 168.93 Tm.upf
F 19.00 F.upf
Ag 107.87 Ag.upf
Rb 85.47 Rb.upf
CELL_PARAMETERS angstrom
-5.1578 1.9137 3.1255
-2.5140 -3.6509 4.5040
0.5984 1.8540 6.2844
ATOMIC_POSITIONS crystal
Tm 0.3189 0.3188 0.0435
F 0.3725 0.6812 0.7885
F 0.6801 0.1596 0.7857
Ag 0.5317 0.5313 0.4047
F 0.9604 0.5532 0.2371
Ag 0.0243 0.0274 0.9225
F 0.2503 0.9600 0.2352
F 0.5569 0.2488 0.2329
Rb 0.8072 0.8071 0.5777
F 0.1593 0.3743 0.7874
```

What are the D(E_F) values for these records? In order: 10.2 13.1 4.9 0.0 states/eV/cell.